# 1
DFT (GGA-PBE) results for an optimized crystal structure of DyYPd6.

a b c (Å): 4.1293 4.1293 8.2591
angles (deg): 90.00 90.00 90.00
With the nearest neighbours (Å) after each atom.
Element x y z (fractional)
Pd1 0.0000 0.5000 0.2512  8 Pd 2.91-2.93, 2 Dy 2.91, 2 Y 2.93
Pd2 0.5000 0.0000 0.2512  8 Pd 2.91-2.93, 2 Dy 2.91, 2 Y 2.93
Dy1 0.0000 0.0000 0.5000  12 Pd 2.91-2.92
Pd3 0.0000 0.5000 0.7488  2 Dy 2.91, 8 Pd 2.91-2.93, 2 Y 2.93
Pd4 0.5000 0.5000 0.5000  8 Pd 2.91, 4 Dy 2.92
Pd5 0.5000 0.5000 0.0000  4 Y 2.92, 8 Pd 2.93
Pd6 0.5000 0.0000 0.7488  2 Dy 2.91, 8 Pd 2.91-2.93, 2 Y 2.93
Y1 0.0000 0.0000 0.0000  12 Pd 2.92-2.93

Symmetry ... P4/mmm (123)

# 2
DFT (GGA-PBE) results for an optimized crystal structure of Sc5CoIr4.

a b c (Å): 3.1727 3.1727 16.4363
angles (deg): 90.00 90.00 90.00
With the nearest neighbours (Å) after each atom.
Element x y z (fractional)
Sc1 0.5000 0.5000 0.9056  4 Co 2.73, 4 Ir 2.79
Co1 0.0000 0.0000 0.0000  8 Sc 2.73
Sc2 0.5000 0.5000 0.7030  8 Ir 2.79-2.80
Sc3 0.5000 0.5000 0.5000  8 Ir 2.79
Sc4 0.5000 0.5000 0.2970  8 Ir 2.79-2.80
Ir1 0.0000 0.0000 0.1958  8 Sc 2.79
Ir2 0.0000 0.0000 0.8042  8 Sc 2.79
Ir3 0.0000 0.0000 0.6014  8 Sc 2.79-2.80
Ir4 0.0000 0.0000 0.3986  8 Sc 2.79-2.80
Sc5 0.5000 0.5000 0.0944  4 Co 2.73, 4 Ir 2.79

Symmetry ... P4/mmm (123)

Number 1: N(E_F) 5.808 states/eV/cell, E_form -19.78 kcal/mol of atoms. Number 2: N(E_F) 2.679 states/eV/cell, E_form -20.44 kcal/mol of atoms.